# 1
Entry from Alexandria: TbY2Si2 after structural relaxation (PBE-GGA).

Computed properties:
ΔE to the lowest computed polymorph (eV per formula unit): 0.49
Energy (eV per cell): -62.87
E_form (uncorrected) (meV/atom): -607
Calculated density (kg/m3): 5351

Cell and atoms, written as POSCAR:
```
TbY2Si2
1.0
4.319 0.000 0.000
2.159 6.095 0.157
2.159 1.176 9.295
Si Y Tb
4 4 2
Cartesian
6.478 4.692 5.311
2.159 2.579 4.140
2.159 5.288 1.084
6.478 1.983 8.367
6.478 5.485 8.601
4.319 2.915 6.447
2.159 1.786 0.850
4.319 4.355 3.005
4.319 6.360 6.101
4.319 0.911 3.351
```

=====

# 2
Entry from Alexandria: CsCdBr2 after structural relaxation (PBE-GGA).

Computed properties:
ΔE to the lowest computed polymorph (eV per formula unit): 0.41
Energy (eV per cell): -8.72
E_form (uncorrected) (meV/atom): -902
Calculated density (kg/m3): 2921

Cell and atoms, written as POSCAR:
```
CsCdBr2
1.0
3.067 0.000 9.428
-1.533 2.656 9.428
-1.533 -2.656 9.428
Cd Cs Br
1 1 2
Cartesian
0.000 0.000 0.000
0.000 0.000 14.142
0.000 0.000 25.541
0.000 0.000 2.743
```

=====

# 3
Entry from Alexandria: K2NaGa after structural relaxation (PBE-GGA).

Computed properties:
Energy (eV per cell): -11.49
Calculated density (kg/m3): 1625
Calculated formation energy (meV/atom): 199

Cell and atoms, written as POSCAR:
```
K2NaGa
1.0
-1.781 -9.626 -1.864
8.939 -0.816 -4.330
5.001 -6.084 0.002
Na K Ga
2 4 2
Cartesian
8.759 -6.060 -3.713
3.579 -5.221 -3.097
10.312 -13.727 -5.563
1.195 -7.961 -1.768
6.136 -8.452 -2.177
6.674 -2.913 -2.877
0.000 0.000 0.000
3.399 -10.466 -2.479
```

=====

# 4
Entry from Alexandria: BaRe2IrS after structural relaxation (PBE-GGA).

Computed properties:
Energy (eV per cell): -20.59
E_form (uncorrected) (meV/atom): 3843
Calculated density (kg/m3): 9574

Cell and atoms, written as POSCAR:
```
BaRe2IrS
1.0
-0.687 -4.089 -2.775
4.931 0.091 -1.355
1.133 -2.857 3.930
Ba Re Ir S
1 2 1 1
Cartesian
0.000 0.000 0.000
-0.343 -2.044 -1.387
0.566 -1.429 1.965
2.689 -3.427 -0.100
2.466 0.046 -0.678
```

=====

# 5
Entry from Alexandria: Cs4KGe3Br12 after structural relaxation (PBE-GGA).

Computed properties:
Energy (eV per cell): -61.69
E_form (uncorrected) (meV/atom): -1163
Calculated density (kg/m3): 3932

Cell and atoms, written as POSCAR:
```
Cs4KGe3Br12
1.0
9.860 0.000 0.000
-3.287 9.297 0.000
-3.287 -4.648 8.051
Br Ge K Cs
12 3 1 4
Cartesian
-1.761 1.245 2.156
4.930 0.000 4.026
-4.813 3.403 5.895
4.930 3.486 2.013
4.813 -3.403 5.895
1.643 5.810 2.013
1.761 -1.245 2.156
-1.643 4.648 4.026
-1.643 1.162 6.038
1.761 2.490 0.000
4.813 6.807 0.000
1.643 -1.162 6.038
3.287 -2.324 4.026
3.287 4.648 0.000
-3.287 2.324 4.026
0.000 0.000 0.000
-1.643 -2.324 4.026
-1.643 4.648 0.000
4.930 0.000 0.000
1.643 2.324 4.026
```

=====

# 6
Entry from Alexandria: BaAsOF2 after structural relaxation (PBE-GGA).

Computed properties:
Energy (eV per cell): -25.37
E_form (uncorrected) (meV/atom): -2018
Calculated density (kg/m3): 5037

Cell and atoms, written as POSCAR:
```
BaAsOF2
1.0
4.644 0.000 0.000
0.000 4.644 0.000
0.000 0.000 4.070
As Ba F O
1 1 2 1
Cartesian
0.000 0.000 0.000
2.322 2.322 2.035
2.322 0.000 0.000
0.000 2.322 0.000
0.000 0.000 2.035
```